Density functional theory data (PBE) for a relaxed structure of DyAlGe.

Its calculated total energy is -4.955 eV per atom.

The space group is I4/mmm (No. 139) and the conventional cell measures 4.1279, 4.1279 and 14.4157 Å, with angles of 90.00, 90.00 and 90.00 degrees. Symmetry generates all atoms from Dy at (0.0000, 0.0000, 0.1614), Al at (0.0000, 0.5000, 0.0000) and Ge at (0.0000, 0.0000, 0.3660).